(1)
A plane-wave DFT calculation with GGA-PBE was carried out for crystalline Tb2Y5Ho12 at its relaxed geometry.

Structure (CIF):
```
data_Tb2Y5Ho12
_chemical_formula_sum 'Tb2 Y5 Ho12'
_cell_length_a 6.260
_cell_length_b 9.019
_cell_length_c 13.762
_cell_angle_alpha 128.21
_cell_angle_beta 94.81
_cell_angle_gamma 91.82
_symmetry_space_group_name_H-M 'P 1'
_symmetry_Int_Tables_number 1
loop_
_symmetry_equiv_pos_as_xyz
'x,y,z'
loop_
_atom_site_label
_atom_site_fract_x
_atom_site_fract_y
_atom_site_fract_z
_atom_site_occupancy
Ho1 0.499 0.064 0.388 1
Ho2 0.600 0.730 0.057 1
Ho3 0.501 0.936 0.612 1
Ho4 0.646 0.607 0.250 1
Ho5 0.354 0.393 0.750 1
Ho6 0.075 0.785 0.951 1
Ho7 0.821 0.456 0.658 1
Ho8 0.400 0.270 0.943 1
Ho9 0.925 0.215 0.049 1
Ho10 0.016 0.890 0.730 1
Ho11 0.179 0.544 0.342 1
Ho12 0.984 0.110 0.270 1
Tb1 0.546 0.838 0.844 1
Tb2 0.454 0.162 0.156 1
Y1 0.000 0.000 0.500 1
Y2 0.725 0.506 0.444 1
Y3 0.875 0.332 0.844 1
Y4 0.275 0.494 0.556 1
Y5 0.125 0.668 0.156 1
```

Calculated values
ΔE to the lowest computed polymorph   0 meV per atom
Formation enthalpy at 0 K   0.0649 eV per atom
Space group   No. 2

---

(2)
A plane-wave DFT calculation with GGA-PBE was carried out for crystalline NbI2N at its relaxed geometry.

Structure (CIF):
```
data_NbI2N
_chemical_formula_sum 'Nb2 I4 N2'
_cell_length_a 6.355
_cell_length_b 6.355
_cell_length_c 6.823
_cell_angle_alpha 62.24
_cell_angle_beta 62.24
_cell_angle_gamma 90.00
_symmetry_space_group_name_H-M 'P 1'
_symmetry_Int_Tables_number 1
loop_
_symmetry_equiv_pos_as_xyz
'x,y,z'
loop_
_atom_site_label
_atom_site_fract_x
_atom_site_fract_y
_atom_site_fract_z
_atom_site_occupancy
N1 0.500 0.500 0.000 1
N2 0.250 0.750 0.500 1
Nb1 0.750 0.250 0.500 1
Nb2 0.000 0.000 0.000 1
I1 0.375 0.401 0.750 1
I2 0.151 0.625 0.250 1
I3 0.875 0.849 0.750 1
I4 0.599 0.125 0.250 1
```

Calculated values
Formation energy without anion corrections   33.16 kcal/mol of atoms
ΔE to the lowest computed polymorph   78 meV per atom
Space group   No. 122